No. 1
An optimized crystal structure of MgMoAs2, computed with PBE-GGA. Values from VASP.

Values from the calculation:
N(E_F) (states/eV/f.u.): 1.7

```
&SYSTEM
  ibrav = 0, nat = 4, ntyp = 3
/
ATOMIC_SPECIES
Mg 24.30 Mg.upf
Mo 95.94 Mo.upf
As 74.92 As.upf
ATOMIC_POSITIONS crystal
Mg 0.000 0.000 0.000
Mo 0.500 0.500 0.000
As 0.245 0.745 0.500
As 0.755 0.255 0.500
CELL_PARAMETERS angstrom
-1.866 2.417 3.743
1.866 -2.417 3.743
1.866 2.417 -3.743
```

No. 2
An optimized crystal structure of Mg4MoAs, computed with PBE-GGA. Values from VASP.

Values from the calculation:
N(E_F) (states/eV/f.u.): 5.1

```
&SYSTEM
  ibrav = 0, nat = 6, ntyp = 3
/
ATOMIC_SPECIES
Mg 24.30 Mg.upf
Mo 95.94 Mo.upf
As 74.92 As.upf
ATOMIC_POSITIONS crystal
Mg 0.124 0.124 0.124
Mg 0.124 0.124 0.627
Mg 0.124 0.627 0.124
Mg 0.627 0.124 0.124
Mo 0.750 0.750 0.750
As 0.500 0.500 0.500
CELL_PARAMETERS angstrom
0.000 3.916 3.916
3.916 0.000 3.916
3.916 3.916 0.000
```

No. 3
An optimized crystal structure of MgMo3As, computed with PBE-GGA. Values from VASP.

Values from the calculation:
N(E_F) (states/eV/f.u.): 8.8
Offset from the most stable computed form (eV/atom): 1.1444

```
&SYSTEM
  ibrav = 0, nat = 5, ntyp = 3
/
ATOMIC_SPECIES
Mg 24.30 Mg.upf
Mo 95.94 Mo.upf
As 74.92 As.upf
ATOMIC_POSITIONS crystal
Mg 0.000 0.000 0.000
Mo 0.000 0.000 0.500
Mo 0.000 0.500 0.000
Mo 0.500 0.000 0.000
As 0.500 0.500 0.500
CELL_PARAMETERS angstrom
4.628 0.000 0.000
0.000 4.628 0.000
0.000 0.000 4.628
```

No. 4
An optimized crystal structure of MgMoAs2, computed with PBE-GGA. Values from VASP.

Values from the calculation:
N(E_F) (states/eV/f.u.): 2.5

```
&SYSTEM
  ibrav = 0, nat = 8, ntyp = 3
/
ATOMIC_SPECIES
Mg 24.30 Mg.upf
Mo 95.94 Mo.upf
As 74.92 As.upf
ATOMIC_POSITIONS crystal
Mg 0.000 0.000 0.000
Mg 0.750 0.250 0.500
Mo 0.250 0.750 0.500
Mo 0.500 0.500 0.000
As 0.157 0.625 0.032
As 0.375 0.407 0.532
As 0.593 0.125 0.968
As 0.875 0.843 0.468
CELL_PARAMETERS angstrom
-2.980 2.980 5.801
2.980 -2.980 5.801
2.980 2.980 -5.801
```

| no. | V (Å³/atom) | calculated formation energy (eV/f.u.) |
| --- | --- | --- |
| 1 | 16.885 | 0.0 |
| 2 | 20.013 | 3.1 |
| 3 | 19.820 | 10.7 |
| 4 | 25.760 | 0.4 |